Record 1
Compound: Cs2LiOsO6
Source: OQMD via LeMat-Bulk
Functional: PBE-GGA
Structure: optimized geometry

Unit cell a=8.3575 b=8.3575 c=8.3575 alpha=90.00 beta=90.00 gamma=90.00
Space group Fm-3m (No. 225)
Symmetry-distinct sites (fractional):
Cs 0.2500 0.2500 0.2500
Li 0.0000 0.0000 0.0000
Os 0.0000 0.0000 0.5000
O 0.0000 0.0000 0.2758

Density ... 6.36 Mg/m³
VASP energy ... -5.6309 eV/atom

***

Record 2
Compound: YHo2N3
Source: OQMD via LeMat-Bulk
Functional: PBE-GGA
Structure: optimized geometry

Unit cell a=3.4471 b=3.4471 c=8.4373 alpha=90.00 beta=90.00 gamma=120.00
Space group P-3m1 (No. 164)
Symmetry-distinct sites (fractional):
Y 0.0000 0.0000 0.0000
Ho 0.3333 0.6667 0.3339
N 0.0000 0.0000 0.5000
N 0.3333 0.6667 0.8312

Density ... 8.81 Mg/m³
VASP energy ... -8.4935 eV/atom

***

What did the first record say?
Compound: Cs2LiOsO6
Source: OQMD via LeMat-Bulk
Functional: PBE-GGA
Structure: optimized geometry

Unit cell a=8.3575 b=8.3575 c=8.3575 alpha=90.00 beta=90.00 gamma=90.00
Space group Fm-3m (No. 225)
Symmetry-distinct sites (fractional):
Cs 0.2500 0.2500 0.2500
Li 0.0000 0.0000 0.0000
Os 0.0000 0.0000 0.5000
O 0.0000 0.0000 0.2758

Density ... 6.36 Mg/m³
VASP energy ... -5.6309 eV/atom